# Re2OsPb | the Alexandria database | meta-GGA SCAN | single point on PBEsol structure
data_Re2OsPb
_chemical_formula_sum 'Re2 Os1 Pb1'
_cell_length_a 2.879
_cell_length_b 2.879
_cell_length_c 7.893
_cell_angle_alpha 90.00
_cell_angle_beta 90.00
_cell_angle_gamma 90.00
_space_group_name_H-M_alt 'P 4/m m m'
_space_group_IT_number 123
_space_group_name_Hall '-P 4 2'
loop_
_atom_site_label
_atom_site_fract_x
_atom_site_fract_y
_atom_site_fract_z
Re1 0.000 0.000 0.223
Os1 0.500 0.500 0.000
Pb1 0.500 0.500 0.500
# Final energy   -286.53 eV for the cell shown